An optimized crystal structure of SmMg2Zn4, computed with PBE.

Geometry as POSCAR:
```
SmMg2Zn4
1.0
-1.791 2.207 8.910
1.791 -2.207 8.910
1.791 2.207 -8.910
Sm Mg Zn
1 2 4
Cartesian
0.000 0.000 0.000
1.791 0.000 5.412
0.000 2.207 3.498
1.791 0.000 2.613
0.000 0.000 7.620
0.000 0.000 10.200
0.000 2.207 6.297
```

Properties
Crystal system: orthorhombic
Formation energy: -203.2 meV per atom
DOS(E_F): 0.511 states/eV/atom
Total energy: -2.0609 eV/atom